Compound: NbRePO
Source: the Open Quantum Materials Database
Functional: PBE
Structure: optimized geometry

abc: 4.098 4.098 6.230
angles: 90.00 90.00 90.00
Atoms (fractional coordinates):
O (0.500, 0.000, 0.000)
O (0.000, 0.500, 0.000)
Re (0.000, 0.500, 0.500)
Re (0.500, 0.000, 0.500)
Nb (0.500, 0.500, 0.872)
Nb (0.000, 0.000, 0.128)
P (0.000, 0.000, 0.694)
P (0.500, 0.500, 0.306)

The spin magnetization is 0.0 μB per formula unit. The value obtained for the total energy is -9.04 eV per atom. Its energy above the lowest structure with this stoichiometry is 0.000 eV per formula unit.